1.
GGA-PBE AgOsIN2, optimized geometry; ΔE to the lowest computed polymorph = 1825 meV/atom; raw formation energy = 2.592 eV per atom; symmetry = P4/mmm, No. 123
1.0
4.0014 0.0000 0.0000
0.0000 4.0014 0.0000
0.0000 0.0000 7.5922
Os N Ag I
1 2 1 1
direct
0.5000 0.5000 0.5000
0.5000 0.0000 0.0000
0.0000 0.5000 0.0000
0.0000 0.0000 0.0000
0.0000 0.0000 0.5000

2.
GGA-PBE Cd3SiB, optimized geometry; ΔE to the lowest computed polymorph = 0 meV/atom; raw formation energy = 0.751 eV per atom; symmetry = Pm-3m, No. 221
1.0
-0.4136 -4.5645 -0.7028
4.4561 -0.5798 1.1432
-1.2133 -0.5734 4.4384
Cd B Si
3 1 1
direct
0.0000 0.0000 0.5000
0.5000 0.0000 0.0000
0.0000 0.5000 0.0000
0.0000 0.0000 0.0000
0.5000 0.5000 0.5000

3.
GGA-PBE Cs2AuS, optimized geometry; ΔE to the lowest computed polymorph = 112 meV/atom; raw formation energy = -0.236 eV per atom; symmetry = I-42d, No. 122
1.0
2.6698 -6.0804 7.9364
8.1140 3.0869 5.6320
-8.7318 4.3032 -3.5106
S Au Cs
2 2 4
direct
0.2500 0.7500 0.5000
0.5000 0.5000 0.0000
0.7500 0.2500 0.5000
0.0000 0.0000 0.0000
0.8750 0.8555 0.4805
0.3750 0.3945 0.5195
0.1445 0.6250 0.0195
0.6055 0.1250 0.9805

4.
GGA-PBE Tm3SbPt, optimized geometry; raw formation energy = -0.752 eV per atom; symmetry = C2/m, No. 12
1.0
5.1576 0.0000 0.0000
-2.5788 7.2712 -0.0353
0.0000 -1.4013 8.3126
Pt Sb Tm
2 2 6
direct
0.8658 0.7316 0.0738
0.1342 0.2684 0.9262
0.3739 0.7477 0.6071
0.6261 0.2523 0.3929
0.6683 0.3366 0.0135
0.1638 0.3276 0.6104
0.9497 0.8994 0.7924
0.8362 0.6724 0.3896
0.0503 0.1006 0.2076
0.3317 0.6634 0.9865

5.
GGA-PBE Ca3Ga2Rh6, optimized geometry; calculated formation energy = -0.45 eV per atom; symmetry = Im-3m, No. 229
1.0
-0.8281 7.4146 3.1765
-6.2384 -1.5328 -4.9483
0.1347 -5.4950 5.9615
Rh Ga Ca
12 4 6
direct
0.6630 0.0000 0.3370
0.6630 0.3370 0.0000
0.3260 0.6630 0.6630
0.0000 0.6630 0.3370
0.6740 0.3370 0.3370
0.3370 0.6740 0.3370
0.3370 0.0000 0.6630
0.3370 0.6630 0.0000
0.3370 0.3370 0.6740
0.6630 0.3260 0.6630
0.6630 0.6630 0.3260
0.0000 0.3370 0.6630
0.5000 0.5000 0.5000
0.0000 0.5000 0.0000
0.0000 0.0000 0.5000
0.5000 0.0000 0.0000
0.7126 0.0000 0.7126
0.2874 0.2874 0.0000
0.7126 0.7126 0.0000
0.0000 0.7126 0.7126
0.2874 0.0000 0.2874
0.0000 0.2874 0.2874

6.
GGA-PBE PrTm5Sc, optimized geometry; ΔE to the lowest computed polymorph = 946 meV/atom; calculated formation energy = 1.01 eV per atom; symmetry = Imm2, No. 44
1.0
-3.0886 2.6312 -4.3830
-1.9376 -7.2194 -2.9685
-2.1587 2.2140 6.9198
Tm Sc Pr
5 1 1
direct
0.4370 0.8237 0.0000
0.6804 0.7513 0.5027
0.4370 0.1763 0.0000
0.1680 0.5000 0.0000
0.1778 0.2487 0.4973
0.9388 0.0000 0.0000
0.6917 0.5000 0.0000

7.
GGA-PBE Ga2Cu2Au, optimized geometry; ΔE to the lowest computed polymorph = 0 meV/atom; calculated formation energy = -0.07 eV per atom; symmetry = C2/m, No. 12
1.0
4.0060 0.0000 1.0248
1.6471 5.8349 1.9038
0.3578 0.5709 6.9438
Au Ga Cu
2 4 4
direct
0.2990 0.0931 0.3088
0.7010 0.9069 0.6912
0.0393 0.2670 0.6543
0.1886 0.6795 0.9433
0.8114 0.3205 0.0567
0.9607 0.7330 0.3457
0.6172 0.3469 0.4186
0.5615 0.7519 0.1250
0.4385 0.2481 0.8750
0.3828 0.6531 0.5814

8.
GGA-PBE KP2SO, optimized geometry; ΔE to the lowest computed polymorph = 1817 meV/atom; raw formation energy = 2.223 eV per atom; symmetry = P4/mmm, No. 123
1.0
-2.1026 1.9851 5.2623
3.7903 -3.6504 2.8916
4.0186 4.1919 0.0244
P S K O
2 1 1 1
direct
0.5000 0.0000 0.0000
0.0000 0.5000 0.0000
0.0000 0.0000 0.5000
0.0000 0.0000 0.0000
0.5000 0.5000 0.5000

9.
GGA-PBE Ba2UGeN5, optimized geometry; raw formation energy = -0.595 eV per atom; symmetry = Cmc2_1, No. 36
1.0
-0.0114 3.5094 0.6776
-1.9189 -3.1310 6.7573
11.8788 -0.5625 3.1127
N Ba U Ge
10 4 2 2
direct
0.9467 0.8935 0.5080
0.7065 0.4130 0.1389
0.2935 0.5870 0.6389
0.6880 0.3760 0.9181
0.3120 0.6240 0.4181
0.6703 0.3407 0.5113
0.5000 0.0000 0.2973
0.0533 0.1065 0.0080
0.5000 0.0000 0.7973
0.3297 0.6593 0.0113
0.0899 0.1797 0.6625
0.1398 0.2796 0.3312
0.8602 0.7204 0.8312
0.9101 0.8203 0.1625
0.2004 0.4008 0.0356
0.7996 0.5992 0.5356
0.4378 0.8755 0.4211
0.5622 0.1245 0.9211

10.
GGA-PBE LiCa2Np3N6, optimized geometry; raw formation energy = -1.081 eV per atom; symmetry = C2/m, No. 12
1.0
3.4837 0.0000 0.0000
0.0000 6.8850 0.3012
-1.7419 -1.9290 7.2142
N Np Li Ca
6 3 1 2
direct
0.3422 0.3931 0.6843
0.3218 0.9345 0.6436
0.6782 0.0655 0.3564
0.9921 0.2825 0.9842
0.0079 0.7175 0.0158
0.6578 0.6069 0.3157
0.1629 0.8389 0.3258
0.5000 0.5000 0.0000
0.8371 0.1611 0.6742
0.5000 0.0000 0.0000
0.1644 0.3281 0.3289
0.8356 0.6719 0.6711

11.
GGA-PBE ErTmOsAu, optimized geometry; calculated formation energy = -0.54 eV per atom; symmetry = F-43m, No. 216
1.0
4.8879 0.0000 0.0000
2.4440 4.2331 0.0000
2.4440 1.4110 3.9910
Au Er Tm Os
1 1 1 1
direct
0.5000 0.5000 0.5000
0.7500 0.7500 0.7500
0.2500 0.2500 0.2500
0.0000 0.0000 0.0000

12.
GGA-PBE WCl2, optimized geometry; ΔE to the lowest computed polymorph = 193 meV/atom; raw formation energy = -0.537 eV per atom; symmetry = C2/m, No. 12
1.0
1.5710 7.4125 -0.0813
-1.5710 7.4125 -0.0813
0.0000 2.7635 7.2033
W Cl
2 4
direct
0.9767 0.9767 0.6586
0.0233 0.0233 0.3414
0.6571 0.6571 0.2511
0.3429 0.3429 0.7489
0.5895 0.5895 0.7139
0.4105 0.4105 0.2861

Copy entry 11 word for word.
GGA-PBE ErTmOsAu, optimized geometry; calculated formation energy = -0.54 eV per atom; symmetry = F-43m, No. 216
1.0
4.8879 0.0000 0.0000
2.4440 4.2331 0.0000
2.4440 1.4110 3.9910
Au Er Tm Os
1 1 1 1
direct
0.5000 0.5000 0.5000
0.7500 0.7500 0.7500
0.2500 0.2500 0.2500
0.0000 0.0000 0.0000